The following is a GGA-PBE calculation of a relaxed PmPr2Ho12 crystal, from Alexandria via LeMat-Bulk.

Structure (POSCAR):
```
PmPr2Ho12
1.0
3.5261 -5.6491 0.0000
3.5261 5.6491 0.0000
0.0000 0.0000 24.8393
Pm Pr Ho
2 4 24
direct
0.2500 0.7500 0.0000
0.7500 0.2500 0.0000
0.2500 0.7500 0.2686
0.2500 0.7500 0.7316
0.7500 0.2500 0.2684
0.7500 0.2500 0.7314
0.0000 0.0000 0.0791
0.0000 0.0000 0.9209
0.0000 0.5000 0.1267
0.9995 0.4995 0.4157
0.0005 0.5005 0.5843
0.0000 0.5000 0.8733
0.0006 0.9994 0.4380
0.2500 0.2500 0.1991
0.2500 0.2500 0.3280
0.2500 0.2500 0.6720
0.2500 0.2500 0.8009
0.4994 0.5006 0.4380
0.5000 0.0000 0.1267
0.5005 0.0005 0.4157
0.4995 0.9995 0.5843
0.5000 0.0000 0.8733
0.5000 0.5000 0.0791
0.5000 0.5000 0.9209
0.5006 0.4994 0.5620
0.7500 0.7500 0.1991
0.7500 0.7500 0.3280
0.7500 0.7500 0.6720
0.7500 0.7500 0.8009
0.9994 0.0006 0.5620
```

Total energy in eV/atom: -4.452
ΔH_f (0 K) in eV/atom: 0.165